## CuAu2 (GGA-PBE)

Data for a relaxed CuAu2 crystal.

Summary:
For the energy above the lowest structure with this stoichiometry, the calculation gives 353.7 meV per atom. The space group is Fd-3m (227). For the calculated volume, the calculation gives 112.5 Å³ per cell.

a = 5.419 Å, b = 5.419 Å, c = 5.419 Å
α = 60.00°, β = 60.00°, γ = 60.00°
Fractional positions:
Cu 0.125 0.125 0.125
Cu 0.875 0.875 0.875
Au 0.000 0.500 0.500
Au 0.500 0.000 0.500
Au 0.500 0.500 0.000
Au 0.500 0.500 0.500



## Cu4Au (GGA-PBE)

Data for a relaxed Cu4Au crystal.

Summary:
For the energy above the lowest structure with this stoichiometry, the calculation gives 17.6 meV per atom. The space group is Immm (71). For the calculated volume, the calculation gives 66.4 Å³ per cell.

a = 7.190 Å, b = 7.190 Å, c = 7.190 Å
α = 158.31°, β = 151.09°, γ = 36.44°
Fractional positions:
Cu 0.112 0.112 0.000
Cu 0.297 0.297 0.000
Cu 0.703 0.703 0.000
Cu 0.888 0.888 0.000
Au 0.500 0.500 0.000